An optimized crystal structure of Li5Tl2InPb2. Source: Alexandria, functional PBE-GGA.

The structure in extended XYZ format:
```
20
Lattice="11.2976 0.0000 0.0000 0.0000 11.2976 0.0000 0.0000 0.0000 3.5957" Properties=species:S:1:pos:R:3 pbc="T T T"
Li 0.0000 5.6488 0.0000
Li 0.1471 2.2972 0.0000
Li 2.2972 11.1505 0.0000
Li 3.3516 5.5017 0.0000
Li 5.5017 7.9460 0.0000
Li 5.6488 0.0000 0.0000
Li 5.7959 3.3516 0.0000
Li 7.9460 5.7959 0.0000
Li 9.0004 0.1471 0.0000
Li 11.1505 9.0004 0.0000
Tl 1.5940 4.0548 1.7979
Tl 4.0548 9.7036 1.7979
Tl 7.2428 1.5940 1.7979
Tl 9.7036 7.2428 1.7979
In 0.0000 0.0000 1.7979
In 5.6488 5.6488 1.7979
Pb 1.8560 7.5048 1.7979
Pb 3.7928 1.8560 1.7979
Pb 7.5048 9.4415 1.7979
Pb 9.4415 3.7928 1.7979
```

- density of states at the Fermi level (states/eV/f.u.) = 4.64
- energy of formation (eV/atom) = -0.1400
- calculated total energy (eV/atom) = -2.59
- crystal system = tetragonal

An optimized crystal structure of Pr3Cr10N11. Source: Alexandria, functional PBE-GGA.

The structure in extended XYZ format:
```
48
Lattice="0.0000 6.4444 6.4444 6.4444 0.0000 6.4444 6.4444 6.4444 0.0000" Properties=species:S:1:pos:R:3 pbc="T T T"
Pr 6.4444 6.4444 2.5577
Pr 6.4444 2.5577 6.4444
Pr 10.3311 6.4444 6.4444
Pr 2.5577 6.4444 6.4444
Pr 6.4444 10.3311 6.4444
Pr 6.4444 6.4444 10.3311
Cr 3.2222 3.2222 1.2919
Cr 3.2222 1.2919 3.2222
Cr 5.1525 3.2222 3.2222
Cr 7.6662 5.2226 5.2226
Cr 1.2919 3.2222 3.2222
Cr 3.2222 5.1525 3.2222
Cr 3.2222 3.2222 5.1525
Cr 5.2226 5.2226 5.2226
Cr 7.6662 7.6662 5.2226
Cr 7.6662 5.2226 7.6662
Cr 5.2226 7.6662 5.2226
Cr 5.2226 5.2226 7.6662
Cr 7.6662 7.6662 7.6662
Cr 9.6666 9.6666 7.7363
Cr 9.6666 7.7363 9.6666
Cr 11.5969 9.6666 9.6666
Cr 5.2226 7.6662 7.6662
Cr 7.7363 9.6666 9.6666
Cr 9.6666 11.5969 9.6666
Cr 9.6666 9.6666 11.5969
N 0.0000 0.0000 0.0000
N 1.9059 1.9059 1.9059
N 4.5386 4.5386 1.9059
N 4.5386 1.9059 4.5386
N 6.4444 4.2236 4.2236
N 8.6652 6.4444 4.2236
N 8.6652 4.2236 6.4444
N 10.9830 8.3503 8.3503
N 4.2236 6.4444 4.2236
N 6.4444 8.6652 4.2236
N 4.2236 4.2236 6.4444
N 6.4444 6.4444 6.4444
N 8.6652 8.6652 6.4444
N 6.4444 4.2236 8.6652
N 8.6652 6.4444 8.6652
N 1.9059 4.5386 4.5386
N 4.2236 8.6652 6.4444
N 4.2236 6.4444 8.6652
N 6.4444 8.6652 8.6652
N 8.3503 10.9830 8.3503
N 8.3503 8.3503 10.9830
N 10.9830 10.9830 10.9830
```

- density of states at the Fermi level (states/eV/f.u.) = 15.33
- calculated total energy (eV/atom) = -9.15
- crystal system = cubic
- ΔE_f (raw) (eV/atom) = -0.72

An optimized crystal structure of KVRhI2. Source: Alexandria, functional PBE-GGA.

The structure in extended XYZ format:
```
5
Lattice="6.1761 0.0000 0.0000 0.0000 6.1761 0.0000 0.0000 0.0000 4.9524" Properties=species:S:1:pos:R:3 pbc="T T T"
K 0.0000 0.0000 0.0000
V 3.0880 3.0880 2.4762
Rh 0.0000 0.0000 2.4762
I 0.0000 3.0880 0.0000
I 3.0880 0.0000 0.0000
```

- density of states at the Fermi level (states/eV/f.u.) = 10.72
- calculated total energy (eV/atom) = -2.90
- crystal system = tetragonal
- ΔE_f (raw) (eV/atom) = 1.24

An optimized crystal structure of Na2Co2Ru. Source: Alexandria, functional PBE-GGA.

The structure in extended XYZ format:
```
10
Lattice="5.9911 0.0000 0.0000 0.0000 5.9911 0.0000 0.0000 0.0000 5.0173" Properties=species:S:1:pos:R:3 pbc="T T T"
Na 1.0993 1.8962 0.0000
Na 1.8962 4.8918 0.0000
Na 4.0949 1.0993 0.0000
Na 4.8918 4.0949 0.0000
Co 0.7760 3.7715 2.5087
Co 2.2196 0.7760 2.5087
Co 3.7715 5.2152 2.5087
Co 5.2152 2.2196 2.5087
Ru 0.0000 0.0000 2.5087
Ru 2.9956 2.9956 2.5087
```

- density of states at the Fermi level (states/eV/f.u.) = 2.68
- energy of formation (eV/atom) = 0.6601
- calculated total energy (eV/atom) = -4.57
- crystal system = tetragonal

An optimized crystal structure of Tb3CePm2. Source: Alexandria, functional PBE-GGA.

The structure in extended XYZ format:
```
12
Lattice="-2.5304 5.0534 7.6183 2.5304 -5.0534 7.6183 2.5304 5.0534 -7.6183" Properties=species:S:1:pos:R:3 pbc="T T T"
Tb 0.0000 0.0000 0.0000
Tb 2.5304 0.0541 2.5560
Tb 0.0000 0.0541 5.0624
Tb 0.0000 5.0534 0.0000
Tb 2.5304 4.9993 2.5560
Tb 0.0000 4.9993 5.0624
Ce 0.0000 2.5267 2.5776
Ce 2.5304 2.5267 5.0408
Pm 2.5304 -2.5267 5.0735
Pm 2.5304 2.5267 0.0240
Pm 0.0000 2.5267 7.5944
Pm 0.0000 7.5801 2.5449
```

- density of states at the Fermi level (states/eV/f.u.) = 10.94
- energy of formation (eV/atom) = 0.0492
- calculated total energy (eV/atom) = -4.84
- crystal system = orthorhombic

An optimized crystal structure of Be2BiAuCl. Source: Alexandria, functional PBE-GGA.

The structure in extended XYZ format:
```
5
Lattice="4.4720 0.0000 0.0000 0.0000 4.4720 0.0000 0.0000 0.0000 5.6263" Properties=species:S:1:pos:R:3 pbc="T T T"
Be 0.0000 2.2360 0.0000
Be 2.2360 0.0000 0.0000
Bi 0.0000 0.0000 2.8132
Au 0.0000 0.0000 0.0000
Cl 2.2360 2.2360 2.8132
```

- density of states at the Fermi level (states/eV/f.u.) = 2.21
- calculated total energy (eV/atom) = -2.97
- crystal system = tetragonal
- ΔE_f (raw) (eV/atom) = 0.33

An optimized crystal structure of LuPa3. Source: Alexandria, functional PBE-GGA.

The structure in extended XYZ format:
```
4
Lattice="-1.5857 5.4899 2.9080 1.5857 -5.4899 2.9080 1.5857 5.4899 -2.9080" Properties=species:S:1:pos:R:3 pbc="T T T"
Lu 0.0000 0.0000 0.0000
Pa 1.5857 -2.6581 1.4409
Pa 1.5857 2.6581 1.4409
Pa 0.0000 5.4899 0.0394
```

- density of states at the Fermi level (states/eV/f.u.) = 8.49
- energy of formation (eV/atom) = 0.1371
- calculated total energy (eV/atom) = -8.12
- polymorph energy (0 for the lowest one) (meV per atom) = 20
- crystal system = orthorhombic

An optimized crystal structure of YMgS2F. Source: Alexandria, functional PBE-GGA.

The structure in extended XYZ format:
```
5
Lattice="4.5336 0.0000 0.0000 0.0000 4.5336 0.0000 0.0000 0.0000 5.7416" Properties=species:S:1:pos:R:3 pbc="T T T"
Y 0.0000 0.0000 0.0000
Mg 0.0000 0.0000 2.8708
S 0.0000 2.2668 2.8708
S 2.2668 0.0000 2.8708
F 2.2668 2.2668 0.0000
```

- density of states at the Fermi level (states/eV/f.u.) = 3.33
- calculated total energy (eV/atom) = -4.17
- crystal system = tetragonal
- ΔE_f (raw) (eV/atom) = -0.53

An optimized crystal structure of TbEuMgRu. Source: Alexandria, functional PBE-GGA.

The structure in extended XYZ format:
```
4
Lattice="0.0000 3.6019 3.6019 3.6019 0.0000 3.6019 3.6019 3.6019 0.0000" Properties=species:S:1:pos:R:3 pbc="T T T"
Tb 0.0000 0.0000 0.0000
Eu 3.6019 3.6019 3.6019
Mg 5.4028 5.4028 5.4028
Ru 1.8009 1.8009 1.8009
```

- density of states at the Fermi level (states/eV/f.u.) = 2.75
- energy of formation (eV/atom) = -0.0128
- calculated total energy (eV/atom) = -6.46
- crystal system = cubic

An optimized crystal structure of LiCaTc. Source: Alexandria, functional PBE-GGA.

The structure in extended XYZ format:
```
6
Lattice="5.6176 -1.9945 0.0000 5.6176 1.9945 0.0000 -0.4152 0.0000 5.9754" Properties=species:S:1:pos:R:3 pbc="T T T"
Li 0.0000 0.0000 0.0000
Li 6.1000 0.0000 4.4175
Ca 2.9667 0.0000 0.0306
Ca 9.5343 0.0000 2.8574
Tc 1.4159 0.0000 2.7180
Tc 6.3721 0.0000 1.6515
```

- density of states at the Fermi level (states/eV/f.u.) = 2.39
- energy of formation (eV/atom) = 0.2417
- calculated total energy (eV/atom) = -4.52
- polymorph energy (0 for the lowest one) (meV per atom) = 92
- crystal system = monoclinic

An optimized crystal structure of Sm3Mg4Cd4. Source: Alexandria, functional PBE-GGA.

The structure in extended XYZ format:
```
11
Lattice="3.4592 0.0000 0.0000 -0.0013 5.0629 0.0000 -1.7210 -2.5049 15.7986" Properties=species:S:1:pos:R:3 pbc="T T T"
Sm 0.0000 0.0000 0.0000
Sm 0.0073 2.5333 4.4493
Sm 1.7296 0.0246 11.3493
Mg 0.0021 0.0145 8.3243
Mg -0.0074 2.5588 12.8771
Mg 1.7443 -0.0008 2.9215
Mg 1.7348 2.5434 7.4743
Cd 0.0018 2.5525 9.9703
Cd 0.0044 0.0272 14.3087
Cd 1.7325 2.5308 1.4899
Cd 1.7351 0.0054 5.8283
```

- density of states at the Fermi level (states/eV/f.u.) = 7.61
- energy of formation (eV/atom) = -0.2322
- calculated total energy (eV/atom) = -2.43
- crystal system = triclinic

An optimized crystal structure of BiSbO3. Source: Alexandria, functional PBE-GGA.

The structure in extended XYZ format:
```
20
Lattice="5.4156 -3.1709 0.0000 5.4156 3.1709 0.0000 -3.1974 0.0000 10.5971" Properties=species:S:1:pos:R:3 pbc="T T T"
Bi 2.7078 1.5855 0.0000
Bi 3.0176 1.6175 7.9478
Bi 1.1091 -1.5855 5.2985
Bi 4.6163 -1.6175 2.6493
Sb 2.7938 0.9597 3.8047
Sb 6.4387 0.9597 1.4938
Sb 1.1951 -0.9597 9.1032
Sb 4.8400 -0.9597 6.7924
O 0.8723 0.3724 3.9255
O -0.7264 -0.3724 9.2241
O 1.6525 0.9360 9.7057
O 3.2557 0.2840 1.9487
O 1.6570 -0.2840 7.2472
O 4.3827 0.9360 6.1900
O 3.2512 -0.9360 4.4071
O 5.9769 0.2840 3.3498
O 4.3782 -0.2840 8.6484
O 5.9814 -0.9360 0.8914
O 8.3602 0.3724 1.3730
O 6.7615 -0.3724 6.6716
```

- density of states at the Fermi level (states/eV/f.u.) = 0.00
- calculated total energy (eV/atom) = -5.80
- crystal system = monoclinic
- ΔE_f (raw) (eV/atom) = -1.22

An optimized crystal structure of Ac4InPd. Source: Alexandria, functional PBE-GGA.

The structure in extended XYZ format:
```
24
Lattice="0.0000 7.5373 7.5373 7.5373 0.0000 7.5373 7.5373 7.5373 0.0000" Properties=species:S:1:pos:R:3 pbc="T T T"
Ac 3.7686 3.7686 0.8262
Ac 3.7686 0.8262 3.7686
Ac 6.7111 3.7686 3.7686
Ac 7.5373 7.5373 2.7829
Ac 7.5373 2.7829 7.5373
Ac 12.2917 7.5373 7.5373
Ac 9.0439 6.0307 6.0307
Ac 0.8262 3.7686 3.7686
Ac 3.7686 6.7111 3.7686
Ac 3.7686 3.7686 6.7111
Ac 6.0307 9.0439 6.0307
Ac 6.0307 6.0307 9.0439
Ac 9.0439 9.0439 9.0439
Ac 2.7829 7.5373 7.5373
Ac 7.5373 12.2917 7.5373
Ac 7.5373 7.5373 12.2917
In 12.4711 10.1407 10.1407
In 10.1407 12.4711 10.1407
In 10.1407 10.1407 12.4711
In 12.4711 12.4711 12.4711
Pd 5.9244 5.9244 5.9244
Pd 9.1502 9.1502 5.9244
Pd 9.1502 5.9244 9.1502
Pd 5.9244 9.1502 9.1502
```

- density of states at the Fermi level (states/eV/f.u.) = 6.08
- energy of formation (eV/atom) = -0.4246
- calculated total energy (eV/atom) = -4.49
- polymorph energy (0 for the lowest one) (meV per atom) = 0
- crystal system = cubic

An optimized crystal structure of DyEr6Ni3. Source: Alexandria, functional PBE-GGA.

The structure in extended XYZ format:
```
20
Lattice="5.4234 -6.4332 0.0000 5.4234 6.4332 0.0000 0.0000 0.0000 7.0019" Properties=species:S:1:pos:R:3 pbc="T T T"
Dy 5.4234 4.1093 3.5009
Dy 5.4234 -4.1093 0.0000
Er 2.9627 2.4631 5.1127
Er 1.8132 0.4796 2.6442
Er 1.8132 -0.4796 6.1452
Er 5.4234 2.9132 0.2717
Er 2.9627 -2.4631 1.6118
Er 5.4234 0.4017 2.6884
Er 5.4234 -0.4017 6.1893
Er 7.8842 2.4631 5.1127
Er 5.4234 -2.9132 3.7726
Er 9.0337 0.4796 2.6442
Er 9.0337 -0.4796 6.1452
Er 7.8842 -2.4631 1.6118
Ni 5.4234 5.3727 1.1842
Ni 3.3054 1.3768 0.6577
Ni 3.3054 -1.3768 4.1586
Ni 7.5415 1.3768 0.6577
Ni 7.5415 -1.3768 4.1586
Ni 5.4234 -5.3727 4.6852
```

- density of states at the Fermi level (states/eV/f.u.) = 9.33
- energy of formation (eV/atom) = -0.2531
- calculated total energy (eV/atom) = -5.19
- crystal system = orthorhombic

An optimized crystal structure of SbP4Se. Source: Alexandria, functional PBE-GGA.

The structure in extended XYZ format:
```
6
Lattice="0.0000 4.0066 4.0066 4.0066 0.0000 4.0066 4.0066 4.0066 0.0000" Properties=species:S:1:pos:R:3 pbc="T T T"
Sb 0.0000 0.0000 0.0000
P 3.2169 3.2169 3.2169
P 4.7962 4.7962 3.2169
P 4.7962 3.2169 4.7962
P 3.2169 4.7962 4.7962
Se 6.0098 6.0098 6.0098
```

- density of states at the Fermi level (states/eV/f.u.) = 3.35
- calculated total energy (eV/atom) = -4.33
- crystal system = cubic
- ΔE_f (raw) (eV/atom) = 0.54

An optimized crystal structure of Mg2ScAgH. Source: Alexandria, functional PBE-GGA.

The structure in extended XYZ format:
```
5
Lattice="4.6206 0.0000 0.0000 0.0000 4.6206 0.0000 0.0000 0.0000 3.9125" Properties=species:S:1:pos:R:3 pbc="T T T"
Mg 0.0000 2.3103 0.0000
Mg 2.3103 0.0000 0.0000
Sc 0.0000 0.0000 1.9562
Ag 2.3103 2.3103 1.9562
H 0.0000 0.0000 0.0000
```

- density of states at the Fermi level (states/eV/f.u.) = 2.60
- calculated total energy (eV/atom) = -3.33
- crystal system = tetragonal

An optimized crystal structure of La7Sm4Y. Source: Alexandria, functional PBE-GGA.

The structure in extended XYZ format:
```
12
Lattice="6.4178 0.0000 0.0000 0.0040 7.3296 0.0000 3.1976 1.7676 9.0390" Properties=species:S:1:pos:R:3 pbc="T T T"
La 0.0000 0.0000 0.0000
La 2.1441 7.3019 3.0201
La 4.2667 3.6347 6.0215
La 3.2078 5.4913 0.0026
La 6.4116 3.6058 9.0364
La 5.3527 5.4624 3.0175
La 7.4753 1.7953 6.0190
Sm 2.1202 3.6430 3.0118
Sm 4.2825 7.2826 6.0322
Sm 5.3369 1.8145 3.0068
Sm 7.4992 5.4542 6.0272
Y 0.0020 3.6648 0.0000
```

- density of states at the Fermi level (states/eV/f.u.) = 20.39
- energy of formation (eV/atom) = 0.0172
- calculated total energy (eV/atom) = -4.97
- crystal system = triclinic

An optimized crystal structure of Mg9Sc11Ag4. Source: Alexandria, functional PBE-GGA.

The structure in extended XYZ format:
```
24
Lattice="7.1543 -10.8203 0.0000 7.1543 10.8203 0.0000 0.0000 0.0000 3.4679" Properties=species:S:1:pos:R:3 pbc="T T T"
Mg 0.0000 0.0000 0.0000
Mg 5.6004 5.5937 0.0000
Mg 5.1958 1.6359 0.0000
Mg 8.7082 5.5937 0.0000
Mg 5.1958 -1.6359 0.0000
Mg 9.1128 1.6359 0.0000
Mg 5.6004 -5.5937 0.0000
Mg 9.1128 -1.6359 0.0000
Mg 8.7082 -5.5937 0.0000
Sc 3.7186 3.7463 1.7340
Sc 7.1543 7.8366 1.7340
Sc 3.0417 0.0000 1.7340
Sc 7.1543 3.4212 1.7340
Sc 3.7186 -3.7463 1.7340
Sc 7.1543 0.0000 1.7340
Sc 10.5900 3.7463 1.7340
Sc 7.1543 -3.4212 1.7340
Sc 11.2668 0.0000 1.7340
Sc 7.1543 -7.8366 1.7340
Sc 10.5900 -3.7463 1.7340
Ag 2.1349 2.1309 0.0000
Ag 2.1349 -2.1309 0.0000
Ag 12.1736 2.1309 0.0000
Ag 12.1736 -2.1309 0.0000
```

- density of states at the Fermi level (states/eV/f.u.) = 25.85
- energy of formation (eV/atom) = -0.1200
- calculated total energy (eV/atom) = -4.10
- crystal system = orthorhombic

An optimized crystal structure of KCa2Cr. Source: Alexandria, functional PBE-GGA.

The structure in extended XYZ format:
```
8
Lattice="-3.9286 3.9286 5.6257 3.9286 -3.9286 5.6257 3.9286 3.9286 -5.6257" Properties=species:S:1:pos:R:3 pbc="T T T"
K 3.9286 1.9643 1.4064
K 0.0000 1.9643 4.2193
Ca 0.0000 0.0000 0.0000
Ca 1.9643 1.9643 -2.8128
Ca 1.9643 -1.9643 2.8128
Ca 0.0000 3.9286 0.0000
Cr 3.9286 -1.9643 4.2193
Cr 0.0000 5.8930 1.4064
```

- density of states at the Fermi level (states/eV/f.u.) = 3.60
- energy of formation (eV/atom) = 1.3301
- calculated total energy (eV/atom) = -2.35
- polymorph energy (0 for the lowest one) (meV per atom) = 901
- crystal system = tetragonal